Record 1
The following is a GGA-PBE calculation of Co2ReS4 after structural relaxation, from the Alexandria database. Values from VASP.

Output
- Crystal system: tetragonal
- Formation energy without anion corrections: 377 meV/atom
- Mass density: 5.69 g/cm3

Geometry as Quantum ESPRESSO input:
```
&SYSTEM
  ibrav = 0, nat = 7, ntyp = 3
/
ATOMIC_SPECIES
Re 186.21 Re.upf
S 32.06 S.upf
Co 58.93 Co.upf
ATOMIC_POSITIONS angstrom
Re 0.000 0.000 0.000
S 2.394 2.394 3.216
S 4.787 4.787 2.289
S 0.000 2.394 0.000
S 2.394 0.000 0.000
Co 2.394 2.394 1.135
Co 4.787 4.787 4.369
CELL_PARAMETERS angstrom
4.787 0.000 0.000
0.000 4.787 0.000
2.394 2.394 5.504
```

=====

Record 2
The following is a GGA-PBE calculation of Dy2YZn after structural relaxation, from the Alexandria database. Values from VASP.

Output
- Crystal system: tetragonal
- Formation enthalpy at 0 K: -0.0264 eV/atom
- Mass density: 7.44 g/cm3
- Distance to the lowest polymorph of the same formula: 0.545 eV/f.u.

Geometry as Quantum ESPRESSO input:
```
&SYSTEM
  ibrav = 0, nat = 4, ntyp = 3
/
ATOMIC_SPECIES
Y 88.91 Y.upf
Zn 65.41 Zn.upf
Dy 162.50 Dy.upf
ATOMIC_POSITIONS angstrom
Y 2.382 0.000 0.000
Zn 2.382 2.370 2.370
Dy 0.000 0.000 2.370
Dy 0.000 2.370 0.000
CELL_PARAMETERS angstrom
4.765 0.000 0.000
0.000 4.739 0.000
0.000 0.000 4.739
```